Record 1
# Sc2Tc3Os | Alexandria | PBE-GGA | relaxed
# Raw total energy, eV for the cell shown: -113.47
# Formation energy, eV per formula unit: -1.7
# Spin magnetization, μB/f.u.: 0.00
# N(E_F), states/eV/f.u.: 6.4
data_Sc2Tc3Os
_cell_length_a 8.971
_cell_length_b 5.188
_cell_length_c 5.323
_cell_angle_alpha 90.00
_cell_angle_beta 124.57
_cell_angle_gamma 90.00
_symmetry_space_group_name_H-M 'C 1 2/m 1'
_symmetry_Int_Tables_number 12
_symmetry_space_group_name_Hall '-C 2y'
loop_
_atom_site_label
_atom_site_fract_x
_atom_site_fract_y
_atom_site_fract_z
Sc1 0.126 0.000 0.377
Tc1 0.000 0.500 0.000
Tc2 0.250 0.250 0.000
Os1 0.000 0.500 0.500

=====

Record 2
# Sc4TcOs | Alexandria | PBE-GGA | relaxed
# Raw total energy, eV for the cell shown: -47.33
# Formation energy, eV per formula unit: -0.4
# Spin magnetization, μB/f.u.: 0.00
# Energy relative to the lowest polymorph listed for this composition, eV per atom: 0.2376
# N(E_F), states/eV/f.u.: 5.0
data_Sc4TcOs
_cell_length_a 4.499
_cell_length_b 4.499
_cell_length_c 6.361
_cell_angle_alpha 90.00
_cell_angle_beta 90.00
_cell_angle_gamma 90.00
_symmetry_space_group_name_H-M 'P 4/m m m'
_symmetry_Int_Tables_number 123
_symmetry_space_group_name_Hall '-P 4 2'
loop_
_atom_site_label
_atom_site_fract_x
_atom_site_fract_y
_atom_site_fract_z
Sc1 0.000 0.500 0.250
Tc1 0.000 0.000 0.000
Os1 0.500 0.500 0.500

=====

Record 3
# ScTcOs4 | Alexandria | PBE-GGA | relaxed
# Raw total energy, eV for the cell shown: -242.10
# Formation energy, eV per formula unit: 1.1
# Spin magnetization, μB/f.u.: 0.00
# N(E_F), states/eV/f.u.: 7.7
data_ScTcOs4
_cell_length_a 7.280
_cell_length_b 7.280
_cell_length_c 7.280
_cell_angle_alpha 90.00
_cell_angle_beta 90.00
_cell_angle_gamma 90.00
_symmetry_space_group_name_H-M 'F -4 3 m'
_symmetry_Int_Tables_number 216
_symmetry_space_group_name_Hall 'F -4 2 3'
loop_
_atom_site_label
_atom_site_fract_x
_atom_site_fract_y
_atom_site_fract_z
Sc1 0.000 0.000 0.000
Tc1 0.250 0.250 0.750
Os1 0.125 0.125 0.375

=====

Record 4
# ScTcOs3 | Alexandria | PBE-GGA | relaxed
# Raw total energy, eV for the cell shown: -38.11
# Formation energy, eV per formula unit: 12.3
# Spin magnetization, μB/f.u.: 0.00
# Energy relative to the lowest polymorph listed for this composition, eV per atom: 0.9797
# N(E_F), states/eV/f.u.: 10.7
data_ScTcOs3
_cell_length_a 4.518
_cell_length_b 4.518
_cell_length_c 4.518
_cell_angle_alpha 90.00
_cell_angle_beta 90.00
_cell_angle_gamma 90.00
_symmetry_space_group_name_H-M 'P m -3 m'
_symmetry_Int_Tables_number 221
_symmetry_space_group_name_Hall '-P 4 2 3'
loop_
_atom_site_label
_atom_site_fract_x
_atom_site_fract_y
_atom_site_fract_z
Sc1 0.000 0.000 0.000
Tc1 0.500 0.500 0.500
Os1 0.000 0.000 0.500